Entry 1:
Ca2AuSe | PBE | optimized geometry

* uncorrected formation energy: -5.08 eV per formula unit

a b c (Å): 4.2410 4.2410 21.0614
angles (deg): 90.00 90.00 120.00
Closest atoms and distances in Å follow each position.
Fractional positions:
Ca1 0.0000 0.0000 0.2485  3 Se 2.99, 3 Au 3.03
Ca2 0.0000 0.0000 0.7515  3 Se 2.99, 3 Au 3.03
Ca3 0.3333 0.6667 0.4182  3 Se 2.99, 3 Au 3.03
Ca4 0.3333 0.6667 0.9152  3 Se 2.99, 3 Au 3.03
Ca5 0.6667 0.3333 0.0848  3 Se 2.99, 3 Au 3.03
Ca6 0.6667 0.3333 0.5818  3 Se 2.99, 3 Au 3.03
Au1 0.0000 0.0000 0.0000  6 Ca 3.03
Au2 0.3333 0.6667 0.6667  6 Ca 3.03
Au3 0.6667 0.3333 0.3333  6 Ca 3.03
Se1 0.0000 0.0000 0.5000  6 Ca 2.99
Se2 0.3333 0.6667 0.1667  6 Ca 2.99
Se3 0.6667 0.3333 0.8333  6 Ca 2.99

***

Entry 2:
Ca2PrAl4 | PBE | optimized geometry

* formation energy from the elements: -0.328 eV/atom

a b c (Å): 3.8251 4.5880 20.1924
angles (deg): 90.00 90.00 90.00
Closest atoms and distances in Å follow each position.
Fractional positions:
Ca1 0.0000 0.0000 0.1926  7 Al 3.19-3.44
Ca2 0.0000 0.0000 0.8074  7 Al 3.19-3.44
Ca3 0.5000 0.5000 0.3074  7 Al 3.19-3.44
Ca4 0.5000 0.5000 0.6926  7 Al 3.19-3.44
Pr1 0.0000 0.5000 0.0000  12 Al 3.27-3.36
Pr2 0.5000 0.0000 0.5000  12 Al 3.27-3.36
Al1 0.0000 0.0000 0.3630  2 Al 2.70
Al2 0.0000 0.0000 0.6370  2 Al 2.70
Al3 0.0000 0.5000 0.4339  3 Al 2.67-2.70
Al4 0.0000 0.5000 0.5661  3 Al 2.67-2.70
Al5 0.5000 0.0000 0.0661  3 Al 2.67-2.70
Al6 0.5000 0.0000 0.9339  3 Al 2.67-2.70
Al7 0.5000 0.5000 0.1370  2 Al 2.70
Al8 0.5000 0.5000 0.8630  2 Al 2.70

***

Entry 3:
TlF | PBE | optimized geometry

* uncorrected formation energy: -3.40 eV per formula unit
* E above lowest polymorph: 58 meV per atom

a b c (Å): 8.6177 8.6177 8.6177
angles (deg): 90.00 90.00 90.00
Closest atoms and distances in Å follow each position.
Fractional positions:
Tl1 0.1594 0.1594 0.8406  3 F 2.54
Tl2 0.1594 0.8406 0.1594  3 F 2.54
Tl3 0.3406 0.3406 0.3406  3 F 2.54
Tl4 0.3406 0.6594 0.6594  3 F 2.54
Tl5 0.6594 0.3406 0.6594  3 F 2.54
Tl6 0.6594 0.6594 0.3406  3 F 2.54
Tl7 0.8406 0.1594 0.1594  3 F 2.54
Tl8 0.8406 0.8406 0.8406  3 F 2.54
F1 0.1329 0.1329 0.1329  3 Tl 2.54
F2 0.1329 0.8671 0.8671  3 Tl 2.54
F3 0.3671 0.3671 0.6329  3 Tl 2.54
F4 0.3671 0.6329 0.3671  3 Tl 2.54
F5 0.6329 0.3671 0.3671  3 Tl 2.54
F6 0.6329 0.6329 0.6329  3 Tl 2.54
F7 0.8671 0.1329 0.8671  3 Tl 2.54
F8 0.8671 0.8671 0.1329  3 Tl 2.54

***

Entry 4:
PaNbAlV | PBE | optimized geometry

* formation energy from the elements: -0.074 eV/atom

a b c (Å): 6.5723 6.5723 6.5723
angles (deg): 90.00 90.00 90.00
Closest atoms and distances in Å follow each position.
Fractional positions:
Pa1 0.0000 0.0000 0.0000  4 Nb 2.85, 4 V 2.85
Pa2 0.0000 0.5000 0.5000  4 V 2.85, 4 Nb 2.85
Pa3 0.5000 0.0000 0.5000  4 V 2.85, 4 Nb 2.85
Pa4 0.5000 0.5000 0.0000  4 V 2.85, 4 Nb 2.85
Nb1 0.2500 0.2500 0.7500  4 Pa 2.85, 4 Al 2.85
Nb2 0.2500 0.7500 0.2500  4 Pa 2.85, 4 Al 2.85
Nb3 0.7500 0.2500 0.2500  4 Pa 2.85, 4 Al 2.85
Nb4 0.7500 0.7500 0.7500  4 Al 2.85, 4 Pa 2.85
Al1 0.0000 0.0000 0.5000  4 Nb 2.85, 4 V 2.85
Al2 0.0000 0.5000 0.0000  4 Nb 2.85, 4 V 2.85
Al3 0.5000 0.0000 0.0000  4 Nb 2.85, 4 V 2.85
Al4 0.5000 0.5000 0.5000  4 Nb 2.85, 4 V 2.85
V1 0.2500 0.2500 0.2500  4 Pa 2.85, 4 Al 2.85
V2 0.2500 0.7500 0.7500  4 Pa 2.85, 4 Al 2.85
V3 0.7500 0.2500 0.7500  4 Pa 2.85, 4 Al 2.85
V4 0.7500 0.7500 0.2500  4 Pa 2.85, 4 Al 2.85

***

Entry 5:
CaDy2Al | PBE | optimized geometry

* E above lowest polymorph: 0 meV per atom
* formation energy from the elements: -0.145 eV/atom

a b c (Å): 3.6087 3.6087 9.2270
angles (deg): 90.00 90.00 90.00
Closest atoms and distances in Å follow each position.
Fractional positions:
Ca1 0.0000 0.0000 0.0000  4 Ca 3.61, 8 Dy 3.81
Dy1 0.5000 0.5000 0.3072  4 Al 3.11
Dy2 0.5000 0.5000 0.6928  4 Al 3.11
Al1 0.0000 0.0000 0.5000  8 Dy 3.11

***

Entry 6:
PaZnOs2 | PBE | optimized geometry

* formation energy from the elements: 0.067 eV/atom

a b c (Å): 3.4085 3.4085 6.0439
angles (deg): 90.00 90.00 90.00
Closest atoms and distances in Å follow each position.
Fractional positions:
Pa1 0.0000 0.0000 0.0000  8 Os 2.89, 2 Zn 3.02
Zn1 0.0000 0.0000 0.5000  8 Os 2.80, 2 Pa 3.02
Os1 0.5000 0.5000 0.2634  4 Zn 2.80, 1 Os 2.86, 4 Pa 2.89
Os2 0.5000 0.5000 0.7366  4 Zn 2.80, 1 Os 2.86, 4 Pa 2.89

***

Entry 7:
LaInGa2Ir | PBE | optimized geometry

* formation energy from the elements: -0.397 eV/atom

a b c (Å): 4.9046 4.9046 5.4345
angles (deg): 90.00 90.00 90.00
Closest atoms and distances in Å follow each position.
Fractional positions:
La1 0.0000 0.0000 0.0000  2 Ir 2.72
In1 0.5000 0.5000 0.0000  4 La 3.47, 8 Ga 3.66
Ga1 0.0000 0.5000 0.5000  2 Ir 2.45
Ga2 0.5000 0.0000 0.5000  2 Ir 2.45
Ir1 0.0000 0.0000 0.5000  4 Ga 2.45, 2 La 2.72

***

Entry 8:
Bi2Se3 | PBE | optimized geometry

* uncorrected formation energy: -1.37 eV per formula unit

a b c (Å): 5.9560 7.8689 7.6356
angles (deg): 90.00 112.24 90.00
Closest atoms and distances in Å follow each position.
Fractional positions:
Bi1 0.0229 0.2500 0.3303  3 Se 2.76-2.77
Bi2 0.3796 0.2500 0.9638  3 Se 2.75-2.90
Bi3 0.6204 0.7500 0.0362  3 Se 2.75-2.90
Bi4 0.9771 0.7500 0.6697  3 Se 2.76-2.77
Se1 0.0900 0.7500 0.0548  2 Bi 2.75-2.76
Se2 0.3379 0.5187 0.6936  2 Bi 2.77-2.90
Se3 0.3379 0.9813 0.6936  2 Bi 2.77-2.90
Se4 0.6621 0.0187 0.3064  2 Bi 2.77-2.90
Se5 0.6621 0.4813 0.3064  2 Bi 2.77-2.90
Se6 0.9100 0.2500 0.9452  2 Bi 2.75-2.76

***

Entry 9:
BiNF3 | PBE | optimized geometry

* uncorrected formation energy: -4.55 eV per formula unit
* E above lowest polymorph: 990 meV per atom

a b c (Å): 4.5706 4.5706 4.5706
angles (deg): 90.00 90.00 90.00
Closest atoms and distances in Å follow each position.
Fractional positions:
Bi1 0.0000 0.0000 0.0000  6 F 2.29
N1 0.5000 0.5000 0.5000  12 F 3.23
F1 0.0000 0.0000 0.5000  2 Bi 2.29
F2 0.0000 0.5000 0.0000  2 Bi 2.29
F3 0.5000 0.0000 0.0000  2 Bi 2.29

***

Entry 10:
GeHF | PBE | optimized geometry

* E above lowest polymorph: 78 meV per atom

a b c (Å): 4.9220 4.9220 17.3641
angles (deg): 90.00 90.00 90.00
Closest atoms and distances in Å follow each position.
Fractional positions:
Ge1 0.0393 0.1303 0.1882  1 H 1.53
Ge2 0.0393 0.8697 0.3118  1 H 1.53
Ge3 0.1303 0.0393 0.5618  1 H 1.53
Ge4 0.1303 0.9607 0.9382  1 H 1.53
Ge5 0.8697 0.0393 0.4382  1 H 1.53
Ge6 0.8697 0.9607 0.0618  1 H 1.53
Ge7 0.9607 0.1303 0.8118  1 H 1.53
Ge8 0.9607 0.8697 0.6882  1 H 1.53
H1 0.0692 0.4203 0.8035  1 Ge 1.53
H2 0.0692 0.5797 0.6965  1 Ge 1.53
H3 0.4203 0.0692 0.9465  1 Ge 1.53
H4 0.4203 0.9308 0.5535  1 Ge 1.53
H5 0.5797 0.0692 0.0535  1 Ge 1.53
H6 0.5797 0.9308 0.4465  1 Ge 1.53
H7 0.9308 0.4203 0.1965  1 Ge 1.53
H8 0.9308 0.5797 0.3035  1 Ge 1.53
F1 0.1800 0.4010 0.5694  1 Ge 1.80
F2 0.1800 0.5990 0.9306  1 Ge 1.80
F3 0.4010 0.1800 0.1806  1 Ge 1.80
F4 0.4010 0.8200 0.3194  1 Ge 1.80
F5 0.5990 0.1800 0.8194  1 Ge 1.80
F6 0.5990 0.8200 0.6806  1 Ge 1.80
F7 0.8200 0.4010 0.4306  1 Ge 1.80
F8 0.8200 0.5990 0.0694  1 Ge 1.80

***

Entry 11:
CaZr2UO8 | PBE | optimized geometry

* uncorrected formation energy: -38.57 eV per formula unit

a b c (Å): 5.0322 5.0322 6.7361
angles (deg): 90.00 90.00 90.81
Closest atoms and distances in Å follow each position.
Fractional positions:
Ca1 0.0000 0.0000 0.0000  6 O 2.30-2.34
Zr1 0.5000 0.5000 0.2410  6 O 2.07-2.24
Zr2 0.5000 0.5000 0.7590  6 O 2.07-2.24
U1 0.0000 0.0000 0.5000  6 O 2.06-2.17
O1 0.1995 0.1995 0.2763  1 U 2.06, 1 Zr 2.14
O2 0.1995 0.1995 0.7237  1 U 2.06, 1 Zr 2.14
O3 0.3030 0.6970 0.5000  1 U 2.17, 2 Zr 2.24
O4 0.3205 0.6795 0.0000  2 Zr 2.07, 1 Ca 2.30
O5 0.6795 0.3205 0.0000  2 Zr 2.07, 1 Ca 2.30
O6 0.6970 0.3030 0.5000  1 U 2.17, 2 Zr 2.24
O7 0.8005 0.8005 0.2763  1 U 2.06, 1 Zr 2.14
O8 0.8005 0.8005 0.7237  1 U 2.06, 1 Zr 2.14

***

Entry 12:
Ca2Ni3Sn4 | PBE | optimized geometry

* formation energy from the elements: -0.346 eV/atom

a b c (Å): 8.3119 7.2255 5.7639
angles (deg): 78.69 58.47 42.84
Closest atoms and distances in Å follow each position.
Fractional positions:
Ca1 0.1266 0.1266 0.8734  6 Ni 3.32-3.34, 8 Sn 3.33-3.39, 1 Ca 3.36
Ca2 0.8734 0.8734 0.1266  6 Ni 3.32-3.34, 8 Sn 3.33-3.39, 1 Ca 3.36
Ni1 0.0000 0.0000 0.5000  4 Sn 2.60, 4 Ni 2.86-2.88
Ni2 0.5000 0.5000 0.0000  4 Sn 2.60, 4 Ni 2.86-2.88
Ni3 0.5000 0.5000 0.5000  4 Sn 2.61, 4 Ni 2.88
Sn1 0.1813 0.5164 0.4836  3 Ni 2.60-2.61
Sn2 0.4836 0.8187 0.1813  3 Ni 2.60-2.61
Sn3 0.5164 0.1813 0.8187  3 Ni 2.60-2.61
Sn4 0.8187 0.4836 0.5164  3 Ni 2.60-2.61

***

Asked for Fermi-level density of states across the records above, the calculation gives 0.42; 0.51; 0.00; 0.79; 0.74; 0.85; 0.69; 0.00; 0.00; 0.00; 0.00; 0.76 states/eV per atom in order.